[1]
A relaxed SmVO4F crystal, computed with PBE with a Hubbard U.

Cell: 6.052 6.052 6.603 Å, 82.53 82.53 74.52°
Element x y z (fractional)
Sm (0.195, 0.195, 0.915)
Sm (0.805, 0.805, 0.085)
V (0.625, 0.625, 0.712)
V (0.375, 0.375, 0.288)
O (0.311, 0.311, 0.551)
O (0.689, 0.689, 0.449)
O (0.131, 0.494, 0.160)
O (0.559, 0.559, 0.244)
O (0.506, 0.869, 0.840)
O (0.494, 0.131, 0.160)
O (0.441, 0.441, 0.756)
O (0.869, 0.506, 0.840)
F (0.018, 0.018, 0.192)
F (0.982, 0.982, 0.808)

---

[2]
A relaxed SmWO4F crystal, computed with PBE with a Hubbard U.

Cell: 6.191 6.191 7.148 Å, 75.57 75.57 75.10°
Element x y z (fractional)
Sm (0.204, 0.204, 0.891)
Sm (0.796, 0.796, 0.109)
W (0.652, 0.652, 0.721)
W (0.348, 0.348, 0.279)
O (0.263, 0.263, 0.541)
O (0.737, 0.737, 0.459)
O (0.104, 0.479, 0.159)
O (0.540, 0.540, 0.220)
O (0.521, 0.896, 0.841)
O (0.479, 0.104, 0.159)
O (0.460, 0.460, 0.780)
O (0.896, 0.521, 0.841)
F (0.013, 0.013, 0.172)
F (0.987, 0.987, 0.828)

---

Number 1: final energy -51.09 eV/f.u., density 4.11 g/cm3, total moment 0.00 μB/cell. Number 2: final energy -53.01 eV/f.u., density 5.51 g/cm3, total moment 0.00 μB/cell.